Record 1
Entry from the Alexandria database: a relaxed Pm2DyC2I2 crystal (GGA-PBE).

Output
ΔE_f (raw) in eV per atom: -0.48
Crystal system: tetragonal
DOS(E_F) in states/eV/f.u.: 1.705
Calculated density in g cm⁻³: 6.07
Calculated volume in Å³ per atom: 28.5

Unit cell a=4.5015 b=4.5015 c=19.7125 alpha=90.00 beta=90.00 gamma=90.00
Last column: nearest neighbours and their distance in Å.
Space group I4/mmm (No. 139)
One atom of each set of equivalent atoms:
Pm (0.0000, 0.0000, 0.0788) x4  4 C 2.74
Dy (0.0000, 0.0000, 0.5000) x2  4 C 2.25
C (0.0000, 0.5000, 0.0000) x4  2 Dy 2.25
I (0.0000, 0.0000, 0.3361) x4  1 Dy 3.23, 4 Pm 3.60



Record 2
Entry from the Alexandria database: a relaxed PmDyCI crystal (GGA-PBE).

Output
ΔE_f (raw) in eV per atom: -0.73
Crystal system: trigonal
DOS(E_F) in states/eV/f.u.: 2.234
Calculated density in g cm⁻³: 7.80
Calculated volume in Å³ per atom: 23.7

Unit cell a=3.8069 b=3.8069 c=22.7003 alpha=90.00 beta=90.00 gamma=120.00
Last column: nearest neighbours and their distance in Å.
Space group R3m (No. 160, hexagonal axes)
One atom of each set of equivalent atoms:
Pm (0.0000, 0.0000, 0.0000) x3  3 C 2.61
Dy (0.0000, 0.0000, 0.2186) x3  3 C 2.50
C (0.0000, 0.0000, 0.6043) x3  3 Dy 2.50, 3 Pm 2.61
I (0.0000, 0.0000, 0.7790) x3  3 Dy 3.26, 3 Pm 3.37



Record 3
Entry from the Alexandria database: a relaxed PrDyCI crystal (GGA-PBE).

Output
ΔE_f (raw) in eV per atom: -0.71
Crystal system: trigonal
DOS(E_F) in states/eV/f.u.: 2.244
Calculated density in g cm⁻³: 7.55
Calculated volume in Å³ per atom: 24.3

Unit cell a=3.8292 b=3.8292 c=22.9866 alpha=90.00 beta=90.00 gamma=120.00
Last column: nearest neighbours and their distance in Å.
Space group R3m (No. 160, hexagonal axes)
One atom of each set of equivalent atoms:
Pr (0.0000, 0.0000, 0.0000) x3  3 C 2.66
Dy (0.0000, 0.0000, 0.2182) x3  3 C 2.50
C (0.0000, 0.0000, 0.6024) x3  3 Dy 2.50, 3 Pr 2.66
I (0.0000, 0.0000, 0.7806) x3  3 Dy 3.26, 3 Pr 3.43



Record 4
Entry from the Alexandria database: a relaxed Dy2ScC2I2 crystal (GGA-PBE).

Output
ΔE_f (raw) in eV per atom: -0.61
Crystal system: tetragonal
DOS(E_F) in states/eV/f.u.: 2.617
Calculated density in g cm⁻³: 5.78
Calculated volume in Å³ per atom: 26.6

Unit cell a=4.2409 b=4.2409 c=20.6818 alpha=90.00 beta=90.00 gamma=90.00
Last column: nearest neighbours and their distance in Å.
Space group I4/mmm (No. 139)
One atom of each set of equivalent atoms:
Dy (0.0000, 0.0000, 0.0728) x4  4 C 2.60
Sc (0.0000, 0.0000, 0.5000) x2  4 C 2.12
C (0.0000, 0.5000, 0.0000) x4  2 Sc 2.12
I (0.0000, 0.0000, 0.3448) x4  1 Sc 3.21, 4 Dy 3.45



Record 5
Entry from the Alexandria database: a relaxed Dy2InC crystal (GGA-PBE).

Output
Crystal system: trigonal
DOS(E_F) in states/eV/f.u.: 3.748
Calculated density in g cm⁻³: 8.18
Calculated volume in Å³ per atom: 22.9
Formation energy in meV per atom: -391

Unit cell a=3.6039 b=3.6039 c=24.4642 alpha=90.00 beta=90.00 gamma=120.00
Last column: nearest neighbours and their distance in Å.
Space group R-3m (No. 166, hexagonal axes)
One atom of each set of equivalent atoms:
Dy (0.0000, 0.0000, 0.2220) x6  3 C 2.48
In (0.0000, 0.0000, 0.0000) x3  6 Dy 3.43, 6 In 3.60
C (0.0000, 0.0000, 0.5000) x3  6 Dy 2.48



Record 6
Entry from the Alexandria database: a relaxed Dy3InC crystal (GGA-PBE).

Output
Crystal system: cubic
DOS(E_F) in states/eV/f.u.: 1.561
Calculated density in g cm⁻³: 8.54
Calculated volume in Å³ per atom: 23.9
Formation energy in meV per atom: -502

Unit cell a=4.9245 b=4.9245 c=4.9245 alpha=90.00 beta=90.00 gamma=90.00
Last column: nearest neighbours and their distance in Å.
Space group Pm-3m (No. 221)
One atom of each set of equivalent atoms:
Dy (0.0000, 0.0000, 0.5000) x3  2 C 2.46
In (0.5000, 0.5000, 0.5000) x1  12 Dy 3.48
C (0.0000, 0.0000, 0.0000) x1  6 Dy 2.46



Record 7
Entry from the Alexandria database: a relaxed Dy8In3C crystal (GGA-PBE).

Output
Crystal system: tetragonal
DOS(E_F) in states/eV/f.u.: 12.427
Calculated density in g cm⁻³: 7.94
Calculated volume in Å³ per atom: 28.9
Formation energy in meV per atom: 70

Unit cell a=7.0092 b=7.0092 c=14.1085 alpha=90.00 beta=90.00 gamma=90.00
Last column: nearest neighbours and their distance in Å.
Space group I4/mmm (No. 139)
One atom of each set of equivalent atoms:
Dy (0.2328, 0.2328, 0.1154) x16  1 C 2.82, 3 In 3.11-3.13
In (0.0000, 0.0000, 0.5000) x2  8 Dy 3.11
In (0.0000, 0.5000, 0.2500) x4  8 Dy 3.13
C (0.0000, 0.0000, 0.0000) x2  8 Dy 2.82



Record 8
Entry from the Alexandria database: a relaxed Dy7In2C2 crystal (GGA-PBE).

Output
Crystal system: orthorhombic
DOS(E_F) in states/eV/f.u.: 8.640
Calculated density in g cm⁻³: 8.55
Calculated volume in Å³ per atom: 24.6
Formation energy in meV per atom: -146

Unit cell a=3.4878 b=14.6277 c=10.5925 alpha=90.00 beta=90.00 gamma=90.00
Last column: nearest neighbours and their distance in Å.
Space group Imm2 (No. 44)
One atom of each set of equivalent atoms:
Dy (0.0000, 0.0000, 0.0000) x2  3 In 3.22-3.50, 2 C 3.43, 10 Dy 3.46-3.55
Dy (0.0000, 0.1395, 0.5672) x4  2 C 2.57
Dy (0.0000, 0.3066, 0.3812) x4  2 C 2.57
Dy (0.0000, 0.3453, 0.6844) x4  2 C 2.51
In (0.0000, 0.0000, 0.3306) x2  7 Dy 3.23-3.50, 2 In 3.49
In (0.0000, 0.5000, 0.2442) x2  8 Dy 3.18-3.27, 2 In 3.49
C (0.0000, 0.2316, 0.0513) x4  6 Dy 2.51-2.57



Record 9
Entry from the Alexandria database: a relaxed Dy2InC crystal (GGA-PBE).

Output
Crystal system: hexagonal
DOS(E_F) in states/eV/f.u.: 3.309
Calculated density in g cm⁻³: 8.25
Calculated volume in Å³ per atom: 22.7
Formation energy in meV per atom: -159

Unit cell a=3.5568 b=3.5568 c=8.2984 alpha=90.00 beta=90.00 gamma=120.00
Last column: nearest neighbours and their distance in Å.
Space group P-6m2 (No. 187)
One atom of each set of equivalent atoms:
Dy (0.0000, 0.0000, 0.1726) x2  3 C 2.50
In (0.3333, 0.6667, 0.5000) x1  6 Dy 3.41, 6 In 3.56
C (0.6667, 0.3333, 0.0000) x1  6 Dy 2.50



Record 10
Entry from the Alexandria database: a relaxed LaDy2InC crystal (GGA-PBE).

Output
Crystal system: tetragonal
DOS(E_F) in states/eV/f.u.: 2.311
Calculated density in g cm⁻³: 7.67
Calculated volume in Å³ per atom: 25.6
Formation energy in meV per atom: -408

Unit cell a=4.9749 b=4.9749 c=5.1665 alpha=90.00 beta=90.00 gamma=90.00
Last column: nearest neighbours and their distance in Å.
Space group P4/mmm (No. 123)
One atom of each set of equivalent atoms:
La (0.0000, 0.0000, 0.0000) x1  2 C 2.58
Dy (0.0000, 0.5000, 0.5000) x2  2 C 2.49
In (0.5000, 0.5000, 0.0000) x1  4 La 3.52, 8 Dy 3.59
C (0.0000, 0.0000, 0.5000) x1  4 Dy 2.49, 2 La 2.58



Record 11
Entry from the Alexandria database: a relaxed La2DyInC crystal (GGA-PBE).

Output
Crystal system: tetragonal
DOS(E_F) in states/eV/f.u.: 2.994
Calculated density in g cm⁻³: 6.92
Calculated volume in Å³ per atom: 27.2
Formation energy in meV per atom: -358

Unit cell a=5.2306 b=5.2306 c=4.9778 alpha=90.00 beta=90.00 gamma=90.00
Last column: nearest neighbours and their distance in Å.
Space group P4/mmm (No. 123)
One atom of each set of equivalent atoms:
La (0.0000, 0.5000, 0.0000) x2  2 C 2.62
Dy (0.0000, 0.0000, 0.5000) x1  2 C 2.49
In (0.5000, 0.5000, 0.5000) x1  8 La 3.61, 4 Dy 3.70
C (0.0000, 0.0000, 0.0000) x1  2 Dy 2.49, 4 La 2.62



Record 12
Entry from the Alexandria database: a relaxed NdDy2InC crystal (GGA-PBE).

Output
Crystal system: tetragonal
DOS(E_F) in states/eV/f.u.: 1.928
Calculated density in g cm⁻³: 7.92
Calculated volume in Å³ per atom: 25.0
Formation energy in meV per atom: -429

Unit cell a=4.9374 b=4.9374 c=5.1243 alpha=90.00 beta=90.00 gamma=90.00
Last column: nearest neighbours and their distance in Å.
Space group P4/mmm (No. 123)
One atom of each set of equivalent atoms:
Nd (0.0000, 0.0000, 0.0000) x1  2 C 2.56
Dy (0.0000, 0.5000, 0.5000) x2  2 C 2.47
In (0.5000, 0.5000, 0.0000) x1  4 Nd 3.49, 8 Dy 3.56
C (0.0000, 0.0000, 0.5000) x1  4 Dy 2.47, 2 Nd 2.56



The highest DOS(E_F) belongs to which entry?
Dy8In3C



What is the calculated density in the eleventh record?
6.92 g cm⁻³



The highest DOS(E_F) belongs to which entry?
Dy8In3C



What did the sixth record say?
Entry from the Alexandria database: a relaxed Dy3InC crystal (GGA-PBE).

Output
Crystal system: cubic
DOS(E_F) in states/eV/f.u.: 1.561
Calculated density in g cm⁻³: 8.54
Calculated volume in Å³ per atom: 23.9
Formation energy in meV per atom: -502

Unit cell a=4.9245 b=4.9245 c=4.9245 alpha=90.00 beta=90.00 gamma=90.00
Last column: nearest neighbours and their distance in Å.
Space group Pm-3m (No. 221)
One atom of each set of equivalent atoms:
Dy (0.0000, 0.0000, 0.5000) x3  2 C 2.46
In (0.5000, 0.5000, 0.5000) x1  12 Dy 3.48
C (0.0000, 0.0000, 0.0000) x1  6 Dy 2.46